No. 1
A relaxed InCu3As crystal, computed with GGA-PBE.

Calculated values
- calculated volume (Å³ per atom) = 19.690
- DOS at the Fermi energy (states/eV/f.u.) = 2.3
- E_form (eV per atom) = 0.30
- offset from the most stable computed form (meV/atom) = 0.0
- DFT total energy (Ry/atom) = -0.267

Cell lengths 4.6175, 4.6175, 4.6175 Å; angles 90.00, 90.00, 90.00 degrees
Closest atoms and distances in Å follow each position.
Space group Pm-3m (No. 221)
Symmetry-distinct sites (fractional):
In  0.0000  0.0000  0.0000 (multiplicity 1)  12 Cu 3.27
Cu  0.0000  0.5000  0.5000 (multiplicity 3)  2 As 2.31
As  0.5000  0.5000  0.5000 (multiplicity 1)  6 Cu 2.31



No. 2
A relaxed Mn4CoIr crystal, computed with GGA-PBE.

Calculated values
- calculated volume (Å³ per atom) = 11.631
- DOS at the Fermi energy (states/eV/f.u.) = 8.7
- E_form (eV per atom) = 0.11
- DFT total energy (Ry/atom) = -0.637

Cell lengths 6.5354, 6.5354, 6.5354 Å; angles 90.00, 90.00, 90.00 degrees
Closest atoms and distances in Å follow each position.
Space group F-43m (No. 216)
Symmetry-distinct sites (fractional):
Mn  0.1239  0.1239  0.1239 (multiplicity 16)  6 Mn 2.29-2.33
Co  0.2500  0.2500  0.7500 (multiplicity 4)  12 Mn 2.71, 4 Ir 2.83
Ir  0.0000  0.0000  0.5000 (multiplicity 4)  12 Mn 2.71, 4 Co 2.83